No. 1
A plane-wave DFT calculation with PBE was carried out for crystalline TbHfAu2 at its relaxed geometry.

Lattice parameters (Å, degrees): 7.012 7.012 7.012 90.00 90.00 90.00
Space group Fm-3m (No. 225)
Unique sites:
Tb  0.000  0.000  0.000 (multiplicity 4)
Hf  0.000  0.000  0.500 (multiplicity 4)
Au  0.250  0.250  0.250 (multiplicity 8)

Properties
Its offset from the most stable computed form is 5.6 kJ per mole of atoms. The electronic total energy comes out at -5.835 eV/atom. The total moment comes out at 0.000 μB/atom. The formation energy comes out at -0.550 eV/atom.



No. 2
A plane-wave DFT calculation with PBE was carried out for crystalline TbHfAu2 at its relaxed geometry.

Lattice parameters (Å, degrees): 3.456 3.456 7.227 90.00 90.00 90.00
Space group P4/mmm (No. 123)
Unique sites:
Tb  0.000  0.000  0.000 (multiplicity 1)
Hf  0.000  0.000  0.500 (multiplicity 1)
Au  0.500  0.500  0.281 (multiplicity 2)

Properties
Its offset from the most stable computed form is 0.0 kJ per mole of atoms. The electronic total energy comes out at -5.893 eV/atom. The total moment comes out at 0.002 μB/atom. The formation energy comes out at -0.608 eV/atom.



No. 3
A plane-wave DFT calculation with PBE was carried out for crystalline TbHfAu2 at its relaxed geometry.

Lattice parameters (Å, degrees): 3.7300 3.7300 23.5660 90.00 90.00 120.00
Space group R-3m (No. 166, hexagonal axes)
Unique sites:
Tb  0.0000  0.0000  0.0000 (multiplicity 3)
Hf  0.0000  0.0000  0.5000 (multiplicity 3)
Au  0.0000  0.0000  0.2428 (multiplicity 6)

Properties
Its offset from the most stable computed form is 15.3 kJ per mole of atoms. The electronic total energy comes out at -5.734 eV/atom. The total moment comes out at 0.000 μB/atom. The formation energy comes out at -0.450 eV/atom.



No. 4
A plane-wave DFT calculation with PBE was carried out for crystalline Tb2HfAu at its relaxed geometry.

Lattice parameters (Å, degrees): 3.447 3.447 8.467 90.00 90.00 90.00
Space group P4/mmm (No. 123)
Unique sites:
Tb  0.000  0.000  0.231 (multiplicity 2)
Hf  0.500  0.500  0.500 (multiplicity 1)
Au  0.500  0.500  0.000 (multiplicity 1)

Properties
The electronic total energy comes out at -5.947 eV/atom. The total moment comes out at 0.000 μB/atom. The formation energy comes out at -0.325 eV/atom.



No. 5
A plane-wave DFT calculation with PBE was carried out for crystalline Hf4TcAu2 at its relaxed geometry.

Lattice parameters (Å, degrees): 4.925 4.925 13.622 90.00 90.00 90.00
Space group I4/mmm (No. 139)
Unique sites:
Hf  0.000  0.000  0.187 (multiplicity 4)
Hf  0.000  0.500  0.000 (multiplicity 4)
Tc  0.000  0.000  0.000 (multiplicity 2)
Au  0.000  0.000  0.385 (multiplicity 4)

Properties
The electronic total energy comes out at -7.867 eV/atom. The total moment comes out at 0.000 μB/atom. The formation energy comes out at 0.238 eV/atom.



No. 6
A plane-wave DFT calculation with PBE was carried out for crystalline HfTcAu at its relaxed geometry.

Lattice parameters (Å, degrees): 5.362 6.687 6.970 107.69 107.21 95.47
Space group P-1 (No. 2)
Unique sites:
Hf  0.127  0.365  0.132 (multiplicity 2)
Hf  0.156  0.279  0.601 (multiplicity 2)
Tc  0.405  0.634  0.944 (multiplicity 2)
Tc  0.417  0.654  0.572 (multiplicity 2)
Au  0.216  0.975  0.832 (multiplicity 2)
Au  0.296  0.895  0.293 (multiplicity 2)

Properties
The electronic total energy comes out at -8.059 eV/atom. The total moment comes out at 0.000 μB/atom. The formation energy comes out at -0.193 eV/atom.



Q: The lowest electronic total energy belongs to which entry?
A: HfTcAu